Entry 1:
Compound: Rb2SrPdF6
Source: Alexandria via LeMat-Bulk
Functional: PBE-GGA
Structure: relaxed

Cell: 6.2913 6.3434 6.3434 Å, 120.00 90.00 90.00°
Closest atoms and distances in Å follow each position.
Element x y z (fractional)
Rb: 0.1108 0.3333 0.6667  3 F 2.86
Rb: 0.8892 0.6667 0.3333  3 F 2.86
Sr: 0.5000 0.0000 0.0000  6 F 2.45
Pd: 0.0000 0.0000 0.0000  6 F 2.21
F: 0.7779 0.1558 0.3115  1 Pd 2.21, 1 Sr 2.45
F: 0.7779 0.1558 0.8442  1 Pd 2.21, 1 Sr 2.45
F: 0.7779 0.6885 0.8442  1 Pd 2.21, 1 Sr 2.45
F: 0.2221 0.8442 0.1558  1 Pd 2.21, 1 Sr 2.45
F: 0.2221 0.3115 0.1558  1 Pd 2.21, 1 Sr 2.45
F: 0.2221 0.8442 0.6885  1 Pd 2.21, 1 Sr 2.45

Output
- Symmetry: P-3m1, No. 164
- Total magnetic moment: 2.0 μB/cell
- Energy above the most stable polymorph in this dataset: 0.061 eV per atom

---

Entry 2:
Compound: CsRb2I
Source: Alexandria via LeMat-Bulk
Functional: PBE-GGA
Structure: relaxed

Cell: 12.8762 12.8762 9.9066 Å, 49.47 49.47 90.00°
Closest atoms and distances in Å follow each position.
Element x y z (fractional)
Cs: 0.0000 0.0000 0.0000  2 I 3.90
Cs: 0.7500 0.2500 0.5000  2 I 3.90
I: 0.5000 0.5000 0.0000  4 Rb 3.79, 2 Cs 3.90
I: 0.2500 0.7500 0.5000  4 Rb 3.79, 2 Cs 3.90
Rb: 0.5109 0.1250 0.2500  2 I 3.79
Rb: 0.2391 0.6250 0.2500  2 I 3.79
Rb: 0.3750 0.4891 0.7500  2 I 3.79
Rb: 0.8750 0.7609 0.7500  2 I 3.79

Output
- Symmetry: I-42d, No. 122
- Total magnetic moment: 0.0 μB/cell
- Energy above the most stable polymorph in this dataset: 0.047 eV per atom

---

Entry 3:
Compound: Ba3SrCa6
Source: Alexandria via LeMat-Bulk
Functional: PBE-GGA
Structure: relaxed

Cell: 9.1883 9.1883 9.1883 Å, 60.00 60.00 60.00°
Closest atoms and distances in Å follow each position.
Element x y z (fractional)
Ba: 0.7500 0.7500 0.7500  12 Ca 4.59
Ba: 0.2500 0.2500 0.2500  12 Ca 4.59
Ba: 0.5000 0.5000 0.5000  6 Ca 3.18
Sr: 0.0000 0.0000 0.0000  6 Ca 3.31
Ca: 0.7450 0.7450 0.2550  1 Ba 3.18, 1 Sr 3.31
Ca: 0.2550 0.7450 0.7450  1 Ba 3.18, 1 Sr 3.31
Ca: 0.2550 0.7450 0.2550  1 Ba 3.18, 1 Sr 3.31
Ca: 0.7450 0.2550 0.2550  1 Ba 3.18, 1 Sr 3.31
Ca: 0.7450 0.2550 0.7450  1 Ba 3.18, 1 Sr 3.31
Ca: 0.2550 0.2550 0.7450  1 Ba 3.18, 1 Sr 3.31

Output
- Symmetry: Fm-3m, No. 225
- Total magnetic moment: 1.8 μB/cell
- E_tot: -1.389 eV/atom

---

- Which value of total magnetic moment does entry 1 give?
  2.0 μB/cell

---

- The lowest total magnetic moment belongs to which entry?
  CsRb2I

---

- Which of these has the highest total magnetic moment?
  Rb2SrPdF6